Record 1
This record from Alexandria via LeMat-Bulk describes Rb4Tm3SnTe8 after structural relaxation. The functional is PBE.

a = 9.9991 Å, b = 9.9991 Å, c = 9.9991 Å
α = 53.59°, β = 53.59°, γ = 53.59°
Element x y z (fractional)
Rb1 0.0000 0.0000 0.0000
Rb2 0.0000 0.5000 0.5000
Rb3 0.5000 0.0000 0.5000
Rb4 0.5000 0.5000 0.0000
Tm1 0.0000 0.0000 0.5000
Tm2 0.0000 0.5000 0.0000
Tm3 0.5000 0.0000 0.0000
Sn1 0.5000 0.5000 0.5000
Te1 0.2283 0.7333 0.7333
Te2 0.2325 0.2325 0.2325
Te3 0.2667 0.2667 0.7717
Te4 0.2667 0.7717 0.2667
Te5 0.7333 0.2283 0.7333
Te6 0.7333 0.7333 0.2283
Te7 0.7675 0.7675 0.7675
Te8 0.7717 0.2667 0.2667

Output
- Space group: R-3m
- Uncorrected formation energy: -26.48 kcal/mol of atoms

Record 2
This record from Alexandria via LeMat-Bulk describes VCo3Pt after structural relaxation. The functional is PBE.

a = 4.1497 Å, b = 4.1497 Å, c = 4.1497 Å
α = 90.00°, β = 90.00°, γ = 90.00°
Element x y z (fractional)
V1 0.0000 0.0000 0.0000
Co1 0.0000 0.0000 0.5000
Co2 0.0000 0.5000 0.0000
Co3 0.5000 0.0000 0.0000
Pt1 0.5000 0.5000 0.5000

Output
- Distance to the lowest polymorph of the same formula: 933 meV per atom
- Space group: Pm-3m

Record 3
This record from Alexandria via LeMat-Bulk describes Cs2UAlO6 after structural relaxation. The functional is PBE.

a = 7.0096 Å, b = 7.0096 Å, c = 7.0096 Å
α = 132.05°, β = 132.05°, γ = 70.15°
Element x y z (fractional)
Cs1 0.2500 0.7500 0.5000
Cs2 0.7500 0.2500 0.5000
U1 0.0000 0.0000 0.0000
Al1 0.5000 0.5000 0.0000
O1 0.1669 0.1669 0.0000
O2 0.2755 0.2755 0.5510
O3 0.2755 0.7245 0.0000
O4 0.7245 0.2755 0.0000
O5 0.7245 0.7245 0.4490
O6 0.8331 0.8331 0.0000

Output
- Space group: I4/mmm
- Uncorrected formation energy: -54.45 kcal/mol of atoms

Record 4
This record from Alexandria via LeMat-Bulk describes Hf2ScGeF after structural relaxation. The functional is PBE.

a = 5.3395 Å, b = 5.3395 Å, c = 3.9962 Å
α = 90.00°, β = 90.00°, γ = 90.00°
Element x y z (fractional)
Hf1 0.0000 0.5000 0.0000
Hf2 0.5000 0.0000 0.0000
Sc1 0.0000 0.0000 0.5000
Ge1 0.5000 0.5000 0.0000
F1 0.5000 0.5000 0.5000

Output
- Distance to the lowest polymorph of the same formula: 36 meV per atom
- Space group: P4/mmm
- Uncorrected formation energy: 2.04 kcal/mol of atoms

For reference, raw total energy by record: -64.80 -31.47 -70.10 -32.29 eV per formula unit.
For reference, D(E_F) by record: 2.0 7.9 4.3 8.1 states/eV per cell.
For reference, V by record: 601.0 71.5 186.2 113.9 Å³ per cell.